(1)
{"formula": "MgC5", "functional": "PBE", "state": "optimized geometry", "lattice": [[1.7086, -2.9593, 0.0000], [1.7086, 2.9593, 0.0000], [0.0000, 0.0000, 6.8771]], "species": ["C", "Mg", "C", "C", "C", "C"], "frac_coords": [[0.5000, 0.5000, 0.0000], [0.0000, 0.0000, 0.5000], [0.6667, 0.3333, 0.5000], [0.0000, 0.5000, 0.0000], [0.5000, 0.0000, 0.0000], [0.3333, 0.6667, 0.5000]], "n_ef_per_ev_cell": 2.475, "space_group": "P6/mmm (191)"}


(2)
{"formula": "MgC", "functional": "PBE", "state": "optimized geometry", "lattice": [[-3.4332, 1.4943, -1.7086], [-3.6756, -1.4250, 1.1824], [-2.5226, 2.3917, 2.2035]], "species": ["Mg", "C", "Mg", "C"], "frac_coords": [[0.7500, 0.7500, 0.7500], [0.0000, 0.0000, 0.0000], [0.5000, 0.5000, 0.5000], [0.2500, 0.2500, 0.2500]], "n_ef_per_ev_cell": 1.531, "space_group": "Fd-3m (227)"}


(3)
{"formula": "MgC", "functional": "PBE", "state": "optimized geometry", "lattice": [[1.3452, 4.0067, -0.0077], [-1.3452, 4.0067, -0.0077], [0.0000, 3.5905, 6.4640]], "species": ["Mg", "C", "C", "C", "Mg", "Mg"], "frac_coords": [[0.0400, 0.0400, 0.4163], [0.9691, 0.9691, 0.1434], [0.3824, 0.3824, 0.6944], [0.3680, 0.3680, 0.2035], [0.6474, 0.6474, 0.7103], [0.7598, 0.7598, 0.9988]], "n_ef_per_ev_cell": 1.466, "space_group": "Cm (8)"}


(4)
{"formula": "MgC2", "functional": "PBE", "state": "optimized geometry", "lattice": [[3.8227, 0.0016, -0.0008], [0.3318, 3.8083, 0.0008], [-2.0746, -1.9078, 2.5825]], "species": ["C", "Mg", "C"], "frac_coords": [[0.6117, 0.6117, 0.0000], [0.0000, 0.0000, 0.0000], [0.3883, 0.3883, 0.0000]], "n_ef_per_ev_cell": 0.000, "space_group": "I4/mmm (139)"}


(5)
{"formula": "Mg5C", "functional": "PBE", "state": "optimized geometry", "lattice": [[1.5604, 5.1940, -0.0698], [-1.5604, 5.1940, -0.0698], [0.0000, 1.5922, 7.1678]], "species": ["C", "Mg", "Mg", "Mg", "Mg", "Mg"], "frac_coords": [[0.0287, 0.0287, 0.9479], [0.3688, 0.3688, 0.9648], [0.9557, 0.9557, 0.5811], [0.2562, 0.2562, 0.3978], [0.6523, 0.6523, 0.7731], [0.5716, 0.5716, 0.1686]], "n_ef_per_ev_cell": 1.997, "space_group": "Cm (8)"}


(6)
{"formula": "MgC", "functional": "PBE", "state": "optimized geometry", "lattice": [[-0.8152, 1.2536, -2.1724], [0.5723, -5.0084, -3.1049], [-5.7608, -1.4719, 1.3124]], "species": ["C", "C", "Mg", "Mg", "C", "Mg", "Mg", "C"], "frac_coords": [[0.2500, 0.0412, 0.5473], [0.7500, 0.4588, 0.0473], [0.7500, 0.3339, 0.6714], [0.7500, 0.8339, 0.8286], [0.2500, 0.5412, 0.9527], [0.2500, 0.1661, 0.1714], [0.2500, 0.6661, 0.3286], [0.7500, 0.9588, 0.4527]], "n_ef_per_ev_cell": 1.455, "space_group": "Pnma (62)"}


(7)
{"formula": "MgC", "functional": "PBE", "state": "optimized geometry", "lattice": [[3.5533, -0.1130, 0.0000], [-2.5043, 2.5233, 0.0000], [0.0000, 0.0000, 6.9639]], "species": ["Mg", "C", "Mg", "C"], "frac_coords": [[0.0000, 0.0000, 0.5713], [0.5000, 0.5000, 0.8331], [0.5000, 0.5000, 0.1787], [0.0000, 0.0000, 0.9169]], "n_ef_per_ev_cell": 1.278, "space_group": "Cmme (67)"}


(8)
{"formula": "MgC2", "functional": "PBE", "state": "optimized geometry", "lattice": [[0.7133, -4.1376, 1.8347], [1.2059, -4.3536, -0.7655], [5.2610, -1.1640, 1.0934]], "species": ["C", "C", "C", "C", "Mg", "Mg"], "frac_coords": [[0.7731, 0.7731, 0.8166], [0.3576, 0.3576, 0.8556], [0.6424, 0.6424, 0.1444], [0.2269, 0.2269, 0.1834], [0.9029, 0.9029, 0.3135], [0.0971, 0.0971, 0.6865]], "space_group": "C2/m (12)"}


(9)
{"formula": "MgC5", "functional": "PBE", "state": "optimized geometry", "lattice": [[2.3892, 2.7467, -2.9095], [-4.5091, 0.8412, 0.8236], [0.6161, 1.4589, 1.8832]], "species": ["C", "C", "Mg", "C", "C", "C"], "frac_coords": [[0.5000, 0.5000, 0.5000], [0.3333, 0.6667, 0.0000], [0.0000, 0.0000, 0.0000], [0.5000, 0.0000, 0.5000], [0.0000, 0.5000, 0.5000], [0.6667, 0.3333, 0.0000]], "n_ef_per_ev_cell": 2.525, "space_group": "P6/mmm (191)"}


(10)
{"formula": "MgC", "functional": "PBE", "state": "optimized geometry", "lattice": [[1.3749, 6.0546, -0.0045], [-1.3749, 6.0546, -0.0045], [0.0000, 0.4253, 4.2234]], "species": ["Mg", "C", "Mg", "C", "Mg", "C"], "frac_coords": [[0.8568, 0.8568, 0.5421], [0.5000, 0.5000, 0.5000], [0.5000, 0.5000, 0.0000], [0.7590, 0.7590, 0.0787], [0.1432, 0.1432, 0.4579], [0.2410, 0.2410, 0.9213]], "n_ef_per_ev_cell": 2.365, "space_group": "C2/m (12)"}


(11)
{"formula": "Mg5C", "functional": "PBE", "state": "optimized geometry", "lattice": [[1.7212, 4.1880, 3.3866], [-3.6663, 2.4769, 3.5205], [0.4114, -0.8591, 5.5735]], "species": ["Mg", "Mg", "C", "Mg", "Mg", "Mg"], "frac_coords": [[0.2500, 0.2500, 0.2500], [0.1236, 0.6255, 0.6255], [0.0000, 0.0000, 0.0000], [0.6255, 0.6255, 0.1236], [0.6255, 0.6255, 0.6255], [0.6255, 0.1236, 0.6255]], "n_ef_per_ev_cell": 5.352, "space_group": "F-43m (216)"}


(12)
{"formula": "MgC", "functional": "PBE", "state": "optimized geometry", "lattice": [[4.5029, 0.0000, 0.0000], [0.0000, 4.5029, 0.0000], [0.0000, 0.0000, 4.4689]], "species": ["Mg", "Mg", "C", "C", "Mg", "C"], "frac_coords": [[0.0000, 0.5000, 0.0000], [0.5000, 0.0000, 0.0000], [0.5000, 0.5000, 0.0000], [0.0000, 0.5000, 0.5000], [0.5000, 0.5000, 0.5000], [0.5000, 0.0000, 0.5000]], "n_ef_per_ev_cell": 3.834, "space_group": "P4/mmm (123)"}


(13)
{"formula": "MgC2", "functional": "PBE", "state": "optimized geometry", "lattice": [[-2.4927, 2.4927, 3.0190], [2.4927, -2.4927, 3.0190], [2.4927, 2.4927, -3.0190]], "species": ["Mg", "C", "C", "Mg", "C", "C"], "frac_coords": [[0.2500, 0.2500, 0.0000], [0.9105, 0.4105, 0.3209], [0.4105, 0.0895, 0.5000], [0.7500, 0.7500, 0.0000], [0.0895, 0.5895, 0.6791], [0.5895, 0.9105, 0.5000]], "n_ef_per_ev_cell": 4.429, "space_group": "I4/mcm (140)"}


(14)
{"formula": "MgC", "functional": "PBE", "state": "optimized geometry", "lattice": [[4.4552, 0.0000, 0.0000], [0.0000, 4.4552, 0.0000], [0.0000, 0.0000, 4.4552]], "species": ["Mg", "C", "C", "Mg", "Mg", "C"], "frac_coords": [[0.5000, 0.0000, 0.0000], [0.5000, 0.0000, 0.5000], [0.0000, 0.5000, 0.5000], [0.0000, 0.5000, 0.0000], [0.0000, 0.0000, 0.5000], [0.5000, 0.5000, 0.0000]], "n_ef_per_ev_cell": 3.712, "space_group": "Pm-3m (221)"}


(15)
{"formula": "Mg7C6", "functional": "PBE", "state": "optimized geometry", "lattice": [[-2.6918, -4.6469, 3.3482], [-0.6578, -5.4774, -3.1007], [3.9512, -4.5893, 1.8372]], "species": ["C", "Mg", "Mg", "C", "Mg", "C", "Mg", "Mg", "Mg", "C", "C", "C", "Mg"], "frac_coords": [[0.1350, 0.1350, 0.1350], [0.3819, 0.3819, 0.9772], [0.6181, 0.0228, 0.6181], [0.9566, 0.9566, 0.9566], [0.3819, 0.9772, 0.3819], [0.6431, 0.6431, 0.6431], [0.5000, 0.5000, 0.5000], [0.9772, 0.3819, 0.3819], [0.0228, 0.6181, 0.6181], [0.0434, 0.0434, 0.0434], [0.3569, 0.3569, 0.3569], [0.8650, 0.8650, 0.8650], [0.6181, 0.6181, 0.0228]], "n_ef_per_ev_cell": 1.657, "space_group": "R-3m (166)"}


(16)
{"formula": "MgC", "functional": "PBE", "state": "optimized geometry", "lattice": [[-2.2873, -2.7457, -0.3087], [2.8944, 0.1692, -2.1118], [2.1205, -2.0746, 2.7403]], "species": ["C", "Mg", "C", "Mg"], "frac_coords": [[0.0000, 0.0000, 0.0000], [0.3333, 0.6667, 0.2500], [0.0000, 0.0000, 0.5000], [0.6667, 0.3333, 0.7500]], "n_ef_per_ev_cell": 0.929, "space_group": "P6_3/mmc (194)"}


(17)
{"formula": "MgC5", "functional": "PBE", "state": "optimized geometry", "lattice": [[-1.7017, 2.4689, -1.3060], [-0.9482, -1.9492, -2.4492], [-4.5233, -1.5421, 2.9785]], "species": ["C", "C", "Mg", "C", "C", "C"], "frac_coords": [[0.5000, 0.5000, 0.3780], [0.0000, 0.0000, 0.5000], [0.5000, 0.5000, 0.0000], [0.0000, 0.0000, 0.2628], [0.5000, 0.5000, 0.6220], [0.0000, 0.0000, 0.7372]], "n_ef_per_ev_cell": 1.093, "space_group": "P4/mmm (123)"}


(18)
{"formula": "MgC2", "functional": "PBE", "state": "optimized geometry", "lattice": [[3.6088, 0.0000, 0.0000], [1.8044, 3.1253, 0.0000], [1.8044, 1.0418, 2.9466]], "species": ["C", "C", "Mg"], "frac_coords": [[0.7500, 0.7500, 0.7500], [0.2500, 0.2500, 0.2500], [0.0000, 0.0000, 0.0000]], "n_ef_per_ev_cell": 1.496, "space_group": "Fm-3m (225)"}


(19)
{"formula": "Mg5C", "functional": "PBE", "state": "optimized geometry", "lattice": [[2.7323, -4.7324, 0.0000], [2.7323, 4.7324, 0.0000], [0.0000, 0.0000, 5.2990]], "species": ["C", "Mg", "Mg", "Mg", "Mg", "Mg"], "frac_coords": [[0.0000, 0.0000, 0.0000], [0.3333, 0.6667, 0.0000], [0.6667, 0.3333, 0.0000], [0.5000, 0.0000, 0.5000], [0.5000, 0.5000, 0.5000], [0.0000, 0.5000, 0.5000]], "n_ef_per_ev_cell": 2.732, "space_group": "P6/mmm (191)"}


(20)
{"formula": "MgC2", "functional": "PBE", "state": "optimized geometry", "lattice": [[-5.0599, 1.7875, 0.2031], [-1.7825, -4.8993, -1.2876], [-0.2433, -1.2807, 5.2096]], "species": ["C", "C", "C", "C", "C", "Mg", "C", "C", "Mg", "Mg", "Mg", "C"], "frac_coords": [[0.9327, 0.0673, 0.4327], [0.0673, 0.5673, 0.0673], [0.9327, 0.4327, 0.9327], [0.5673, 0.9327, 0.9327], [0.5673, 0.5673, 0.4327], [0.0000, 0.5000, 0.5000], [0.4327, 0.4327, 0.5673], [0.4327, 0.0673, 0.0673], [0.5000, 0.5000, 0.0000], [0.0000, 0.0000, 0.0000], [0.5000, 0.0000, 0.5000], [0.0673, 0.9327, 0.5673]], "n_ef_per_ev_cell": 0.000, "space_group": "Pa-3 (205)"}


no.,M_tot (μB per atom),E_form (eV per atom)
1,0.07,2.86
2,0.00,2.05
3,0.00,0.64
4,0.00,0.45
5,0.00,0.33
6,0.00,0.48
7,0.00,0.58
8,0.00,0.83
9,0.00,2.73
10,0.04,0.60
11,0.00,1.04
12,0.00,1.57
13,0.00,1.11
14,0.00,1.69
15,0.00,0.74
16,0.00,0.94
17,0.00,2.03
18,0.00,2.40
19,0.00,1.15
20,0.00,0.60